Entry A
VCu2Pd3: relaxed, PBE.

Unit cell a=4.800 b=4.800 c=8.678 alpha=95.22 beta=95.22 gamma=120.00
Sites, in units of the cell vectors:
V (0.165, 0.835, 0.000)
V (0.835, 0.165, 0.000)
Cu (0.000, 0.000, 0.500)
Cu (0.330, 0.670, 0.500)
Cu (0.500, 0.500, 0.000)
Cu (0.670, 0.330, 0.500)
Pd (0.083, 0.417, 0.754)
Pd (0.250, 0.250, 0.249)
Pd (0.417, 0.083, 0.754)
Pd (0.583, 0.917, 0.246)
Pd (0.750, 0.750, 0.751)
Pd (0.917, 0.583, 0.246)

Computed properties:
Space-group type: C2/m (12)
D(E_F) in states/eV/f.u.: 4.780

***

Entry B
VCu2Pd3: relaxed, PBE.

Unit cell a=2.782 b=2.782 c=10.819 alpha=90.00 beta=90.00 gamma=90.00
Sites, in units of the cell vectors:
V (0.000, 0.000, 0.000)
Cu (0.000, 0.000, 0.338)
Cu (0.000, 0.000, 0.662)
Pd (0.500, 0.500, 0.168)
Pd (0.500, 0.500, 0.500)
Pd (0.500, 0.500, 0.832)

Computed properties:
Space-group type: P4/mmm (123)
D(E_F) in states/eV/f.u.: 5.276

***

The structure with the least stability is entry A.

***

Entry A
VCu2Pd: relaxed, PBE.

Unit cell a=5.955 b=5.955 c=5.955 alpha=90.00 beta=90.00 gamma=90.00
Sites, in units of the cell vectors:
V (0.000, 0.000, 0.000)
V (0.000, 0.500, 0.500)
V (0.500, 0.000, 0.500)
V (0.500, 0.500, 0.000)
Cu (0.250, 0.250, 0.250)
Cu (0.250, 0.250, 0.750)
Cu (0.250, 0.750, 0.250)
Cu (0.250, 0.750, 0.750)
Cu (0.750, 0.250, 0.250)
Cu (0.750, 0.250, 0.750)
Cu (0.750, 0.750, 0.250)
Cu (0.750, 0.750, 0.750)
Pd (0.000, 0.000, 0.500)
Pd (0.000, 0.500, 0.000)
Pd (0.500, 0.000, 0.000)
Pd (0.500, 0.500, 0.500)

Computed properties:
Space-group type: Fm-3m (225)
D(E_F) in states/eV/f.u.: 3.340

***

Entry B
VCu2Pd: relaxed, PBE.

Unit cell a=6.868 b=6.868 c=5.062 alpha=90.00 beta=90.00 gamma=90.00
Sites, in units of the cell vectors:
V (0.000, 0.000, 0.000)
V (0.000, 0.500, 0.250)
V (0.500, 0.000, 0.750)
V (0.500, 0.500, 0.500)
Cu (0.249, 0.250, 0.125)
Cu (0.250, 0.749, 0.375)
Cu (0.250, 0.751, 0.875)
Cu (0.251, 0.250, 0.625)
Cu (0.749, 0.750, 0.625)
Cu (0.750, 0.249, 0.875)
Cu (0.750, 0.251, 0.375)
Cu (0.751, 0.750, 0.125)
Pd (0.000, 0.000, 0.500)
Pd (0.000, 0.500, 0.750)
Pd (0.500, 0.000, 0.250)
Pd (0.500, 0.500, 0.000)

Computed properties:
Space-group type: I-42d (122)
D(E_F) in states/eV/f.u.: 2.837

***

Entry C
VCu2Pd: relaxed, PBE.

Unit cell a=2.618 b=2.618 c=28.197 alpha=90.00 beta=90.00 gamma=120.00
Sites, in units of the cell vectors:
V (0.000, 0.000, 0.000)
V (0.333, 0.667, 0.667)
V (0.667, 0.333, 0.333)
Cu (0.000, 0.000, 0.087)
Cu (0.000, 0.000, 0.913)
Cu (0.333, 0.667, 0.580)
Cu (0.333, 0.667, 0.753)
Cu (0.667, 0.333, 0.247)
Cu (0.667, 0.333, 0.420)
Pd (0.000, 0.000, 0.500)
Pd (0.333, 0.667, 0.167)
Pd (0.667, 0.333, 0.833)

Computed properties:
Space-group type: R-3m (166)
D(E_F) in states/eV/f.u.: 2.582

***

The structure with the least stability is entry B.

***

Entry A
VCu2Pd: relaxed, PBE.

Unit cell a=2.626 b=2.626 c=7.693 alpha=90.00 beta=90.00 gamma=90.00
Sites, in units of the cell vectors:
V (0.000, 0.000, 0.000)
Cu (0.500, 0.500, 0.248)
Cu (0.500, 0.500, 0.752)
Pd (0.000, 0.000, 0.500)

Computed properties:
Space-group type: P4/mmm (123)
D(E_F) in states/eV/f.u.: 2.624

***

Entry B
VCu2Pd: relaxed, PBE.

Unit cell a=3.805 b=3.805 c=3.792 alpha=90.00 beta=90.00 gamma=90.00
Sites, in units of the cell vectors:
V (0.000, 0.000, 0.000)
Cu (0.000, 0.500, 0.500)
Cu (0.500, 0.000, 0.500)
Pd (0.500, 0.500, 0.000)

Computed properties:
Space-group type: P4/mmm (123)
D(E_F) in states/eV/f.u.: 4.722

***

The structure with the least stability is entry B.

***

Entry A
V3CuPd6: relaxed, PBE.

Unit cell a=2.768 b=2.768 c=21.900 alpha=90.00 beta=90.00 gamma=120.00
Sites, in units of the cell vectors:
V (0.000, 0.000, 0.000)
V (0.000, 0.000, 0.303)
V (0.000, 0.000, 0.697)
Cu (0.000, 0.000, 0.500)
Pd (0.333, 0.667, 0.096)
Pd (0.333, 0.667, 0.401)
Pd (0.333, 0.667, 0.793)
Pd (0.667, 0.333, 0.207)
Pd (0.667, 0.333, 0.599)
Pd (0.667, 0.333, 0.904)

Computed properties:
Space-group type: P-3m1 (164)
D(E_F) in states/eV/f.u.: 10.296

***

Entry B
V3CuPd6: relaxed, PBE.

Unit cell a=8.634 b=8.634 c=4.759 alpha=90.00 beta=90.00 gamma=122.95
Sites, in units of the cell vectors:
V (0.108, 0.892, 0.500)
V (0.236, 0.455, 0.203)
V (0.455, 0.236, 0.703)
V (0.545, 0.764, 0.203)
V (0.764, 0.545, 0.703)
V (0.892, 0.108, 0.000)
Cu (0.276, 0.724, 0.465)
Cu (0.724, 0.276, 0.965)
Pd (0.063, 0.459, 0.792)
Pd (0.132, 0.206, 0.585)
Pd (0.189, 0.811, 0.952)
Pd (0.206, 0.132, 0.085)
Pd (0.447, 0.553, 0.719)
Pd (0.459, 0.063, 0.292)
Pd (0.541, 0.937, 0.792)
Pd (0.553, 0.447, 0.219)
Pd (0.794, 0.868, 0.585)
Pd (0.811, 0.189, 0.452)
Pd (0.868, 0.794, 0.085)
Pd (0.937, 0.541, 0.292)

Computed properties:
Space-group type: Cmc2_1 (36)
D(E_F) in states/eV/f.u.: 10.639

***

The structure with the least stability is entry B.

***

Entry A
VCu2Pd2: relaxed, PBE.

Unit cell a=7.036 b=7.036 c=2.915 alpha=90.00 beta=90.00 gamma=90.00
Sites, in units of the cell vectors:
V (0.000, 0.000, 0.000)
V (0.500, 0.500, 0.000)
Cu (0.123, 0.377, 0.000)
Cu (0.377, 0.877, 0.000)
Cu (0.623, 0.123, 0.000)
Cu (0.877, 0.623, 0.000)
Pd (0.175, 0.675, 0.500)
Pd (0.325, 0.175, 0.500)
Pd (0.675, 0.825, 0.500)
Pd (0.825, 0.325, 0.500)

Computed properties:
Space-group type: P4/mbm (127)
D(E_F) in states/eV/f.u.: 4.315

***

Entry B
VCu2Pd2: relaxed, PBE.

Unit cell a=8.450 b=3.714 c=5.931 alpha=90.00 beta=133.10 gamma=90.00
Sites, in units of the cell vectors:
V (0.000, 0.000, 0.000)
V (0.500, 0.500, 0.000)
Cu (0.201, 0.000, 0.593)
Cu (0.299, 0.500, 0.407)
Cu (0.701, 0.500, 0.593)
Cu (0.799, 0.000, 0.407)
Pd (0.095, 0.500, 0.804)
Pd (0.405, 0.000, 0.196)
Pd (0.595, 0.000, 0.804)
Pd (0.905, 0.500, 0.196)

Computed properties:
Space-group type: C2/m (12)
D(E_F) in states/eV/f.u.: 2.326

***

Entry C
VCu2Pd2: relaxed, PBE.

Unit cell a=3.940 b=12.963 c=2.689 alpha=90.00 beta=90.00 gamma=90.00
Sites, in units of the cell vectors:
V (0.000, 0.000, 0.000)
V (0.500, 0.500, 0.000)
Cu (0.000, 0.198, 0.000)
Cu (0.000, 0.802, 0.000)
Cu (0.500, 0.302, 0.000)
Cu (0.500, 0.698, 0.000)
Pd (0.000, 0.394, 0.500)
Pd (0.000, 0.606, 0.500)
Pd (0.500, 0.106, 0.500)
Pd (0.500, 0.894, 0.500)

Computed properties:
Space-group type: Cmmm (65)
D(E_F) in states/eV/f.u.: 5.582

***

Entry D
VCu2Pd2: relaxed, PBE.

Unit cell a=7.146 b=7.146 c=2.847 alpha=90.00 beta=90.00 gamma=90.00
Sites, in units of the cell vectors:
V (0.000, 0.000, 0.000)
V (0.500, 0.500, 0.000)
Cu (0.158, 0.342, 0.500)
Cu (0.342, 0.842, 0.500)
Cu (0.658, 0.158, 0.500)
Cu (0.842, 0.658, 0.500)
Pd (0.140, 0.640, 0.000)
Pd (0.360, 0.140, 0.000)
Pd (0.640, 0.860, 0.000)
Pd (0.860, 0.360, 0.000)

Computed properties:
Space-group type: P4/mbm (127)
D(E_F) in states/eV/f.u.: 3.911

***

The structure with the least stability is entry D.

***

Entry A
V2CuPd2: relaxed, PBE.

Unit cell a=7.417 b=7.417 c=2.709 alpha=90.00 beta=90.00 gamma=90.00
Sites, in units of the cell vectors:
V (0.168, 0.332, 0.000)
V (0.332, 0.832, 0.000)
V (0.668, 0.168, 0.000)
V (0.832, 0.668, 0.000)
Cu (0.000, 0.000, 0.500)
Cu (0.500, 0.500, 0.500)
Pd (0.130, 0.630, 0.500)
Pd (0.370, 0.130, 0.500)
Pd (0.630, 0.870, 0.500)
Pd (0.870, 0.370, 0.500)

Computed properties:
Space-group type: P4/mbm (127)
D(E_F) in states/eV/f.u.: 4.337

***

Entry B
V2CuPd2: relaxed, PBE.

Unit cell a=7.445 b=7.445 c=2.703 alpha=90.00 beta=90.00 gamma=90.00
Sites, in units of the cell vectors:
V (0.112, 0.388, 0.000)
V (0.388, 0.888, 0.000)
V (0.612, 0.112, 0.000)
V (0.888, 0.612, 0.000)
Cu (0.000, 0.000, 0.000)
Cu (0.500, 0.500, 0.000)
Pd (0.181, 0.681, 0.500)
Pd (0.319, 0.181, 0.500)
Pd (0.681, 0.819, 0.500)
Pd (0.819, 0.319, 0.500)

Computed properties:
Space-group type: P4/mbm (127)
D(E_F) in states/eV/f.u.: 4.027

***

The structure with the least stability is entry B.

***

Entry A
VCuPd4: relaxed, PBE.

Unit cell a=7.112 b=7.112 c=7.112 alpha=33.83 beta=33.83 gamma=33.83
Sites, in units of the cell vectors:
V (0.000, 0.000, 0.000)
Cu (0.500, 0.500, 0.500)
Pd (0.122, 0.122, 0.122)
Pd (0.374, 0.374, 0.374)
Pd (0.626, 0.626, 0.626)
Pd (0.878, 0.878, 0.878)

Computed properties:
Space-group type: R-3m (166)
D(E_F) in states/eV/f.u.: 3.709

***

Entry B
VCuPd4: relaxed, PBE.

Unit cell a=2.751 b=3.850 c=8.210 alpha=90.00 beta=90.00 gamma=90.00
Sites, in units of the cell vectors:
V (0.000, 0.000, 0.000)
Cu (0.500, 0.500, 0.500)
Pd (0.000, 0.000, 0.334)
Pd (0.000, 0.000, 0.666)
Pd (0.500, 0.500, 0.163)
Pd (0.500, 0.500, 0.837)

Computed properties:
Space-group type: Pmmm (47)
D(E_F) in states/eV/f.u.: 4.020

***

The structure with the least stability is entry A.

***

Entry A
CuPd2W: relaxed, PBE.

Unit cell a=2.805 b=2.805 c=26.209 alpha=90.00 beta=90.00 gamma=120.00
Sites, in units of the cell vectors:
Cu (0.000, 0.000, 0.000)
Cu (0.333, 0.667, 0.667)
Cu (0.667, 0.333, 0.333)
Pd (0.000, 0.000, 0.415)
Pd (0.000, 0.000, 0.585)
Pd (0.333, 0.667, 0.082)
Pd (0.333, 0.667, 0.251)
Pd (0.667, 0.333, 0.749)
Pd (0.667, 0.333, 0.918)
W (0.000, 0.000, 0.166)
W (0.333, 0.667, 0.833)
W (0.667, 0.333, 0.500)

Computed properties:
Space-group type: R3m (160)
D(E_F) in states/eV/f.u.: 3.380

***

Entry B
CuPd2W: relaxed, PBE.

Unit cell a=6.196 b=6.196 c=6.196 alpha=90.00 beta=90.00 gamma=90.00
Sites, in units of the cell vectors:
Cu (0.000, 0.000, 0.000)
Cu (0.000, 0.500, 0.500)
Cu (0.500, 0.000, 0.500)
Cu (0.500, 0.500, 0.000)
Pd (0.250, 0.250, 0.250)
Pd (0.250, 0.250, 0.750)
Pd (0.250, 0.750, 0.250)
Pd (0.250, 0.750, 0.750)
Pd (0.750, 0.250, 0.250)
Pd (0.750, 0.250, 0.750)
Pd (0.750, 0.750, 0.250)
Pd (0.750, 0.750, 0.750)
W (0.000, 0.000, 0.500)
W (0.000, 0.500, 0.000)
W (0.500, 0.000, 0.000)
W (0.500, 0.500, 0.500)

Computed properties:
Space-group type: Fm-3m (225)
D(E_F) in states/eV/f.u.: 3.791

***

Entry C
CuPd2W: relaxed, PBE.

Unit cell a=2.777 b=2.777 c=7.592 alpha=90.00 beta=90.00 gamma=90.00
Sites, in units of the cell vectors:
Cu (0.000, 0.000, 0.000)
Pd (0.500, 0.500, 0.242)
Pd (0.500, 0.500, 0.758)
W (0.000, 0.000, 0.500)

Computed properties:
Space-group type: P4/mmm (123)
D(E_F) in states/eV/f.u.: 2.159

***

The structure with the least stability is entry B.

***

Entry A
CuPd3W: relaxed, PBE.

Unit cell a=7.159 b=7.159 c=8.750 alpha=90.00 beta=90.00 gamma=158.22
Sites, in units of the cell vectors:
Cu (0.238, 0.762, 0.750)
Cu (0.762, 0.238, 0.250)
Pd (0.093, 0.907, 0.250)
Pd (0.337, 0.663, 0.024)
Pd (0.337, 0.663, 0.476)
Pd (0.663, 0.337, 0.524)
Pd (0.663, 0.337, 0.976)
Pd (0.907, 0.093, 0.750)
W (0.000, 0.000, 0.000)
W (0.000, 0.000, 0.500)

Computed properties:
Space-group type: Cmcm (63)
D(E_F) in states/eV/f.u.: 4.114

***

Entry B
CuPd3W: relaxed, PBE.

Unit cell a=4.806 b=4.806 c=4.806 alpha=90.00 beta=90.00 gamma=90.00
Sites, in units of the cell vectors:
Cu (0.000, 0.000, 0.000)
Pd (0.000, 0.500, 0.500)
Pd (0.500, 0.000, 0.500)
Pd (0.500, 0.500, 0.000)
W (0.500, 0.500, 0.500)

Computed properties:
Space-group type: Pm-3m (221)
D(E_F) in states/eV/f.u.: 3.737

***

The structure with the least stability is entry B.

***

Entry A
CuPdW3: relaxed, PBE.

Unit cell a=4.477 b=4.477 c=4.477 alpha=90.00 beta=90.00 gamma=90.00
Sites, in units of the cell vectors:
Cu (0.000, 0.000, 0.000)
Pd (0.500, 0.500, 0.500)
W (0.000, 0.000, 0.500)
W (0.000, 0.500, 0.000)
W (0.500, 0.000, 0.000)

Computed properties:
Space-group type: Pm-3m (221)
D(E_F) in states/eV/f.u.: 7.805

***

Entry B
CuPdW3: relaxed, PBE.

Unit cell a=4.711 b=4.711 c=4.711 alpha=90.00 beta=90.00 gamma=90.00
Sites, in units of the cell vectors:
Cu (0.000, 0.000, 0.000)
Pd (0.500, 0.500, 0.500)
W (0.000, 0.500, 0.500)
W (0.500, 0.000, 0.500)
W (0.500, 0.500, 0.000)

Computed properties:
Space-group type: Pm-3m (221)
D(E_F) in states/eV/f.u.: 5.075

***

The structure with the least stability is entry B.

***

Entry A
YCu3Pd: relaxed, PBE.

Unit cell a=4.662 b=4.662 c=4.662 alpha=90.00 beta=90.00 gamma=90.00
Sites, in units of the cell vectors:
Y (0.000, 0.000, 0.000)
Cu (0.000, 0.500, 0.500)
Cu (0.500, 0.000, 0.500)
Cu (0.500, 0.500, 0.000)
Pd (0.500, 0.500, 0.500)

Computed properties:
Space-group type: Pm-3m (221)
D(E_F) in states/eV/f.u.: 3.478

***

Entry B
YCu3Pd: relaxed, PBE.

Unit cell a=4.950 b=4.950 c=4.950 alpha=90.00 beta=90.00 gamma=90.00
Sites, in units of the cell vectors:
Y (0.000, 0.000, 0.000)
Cu (0.000, 0.000, 0.500)
Cu (0.000, 0.500, 0.000)
Cu (0.500, 0.000, 0.000)
Pd (0.500, 0.500, 0.500)

Computed properties:
Space-group type: Pm-3m (221)
D(E_F) in states/eV/f.u.: 3.036

***

The structure with the least stability is entry B.